Entry A
TlIn2NiPb (PBE, relaxed); total moment = 0.00 μB/f.u.; Fermi-level density of states = 0.7260 states/eV/atom; symmetry = No. 123
1.0
-2.658 2.734 -3.348
-3.006 -3.993 -0.875
-3.127 1.536 3.736
Pb Ni Tl In
1 1 1 2
Cartesian
-4.395 0.138 -0.244 Pb
0.000 0.000 0.000 Ni
-1.563 0.768 1.868 Tl
-1.503 -1.997 -0.437 In
-1.329 1.367 -1.674 In

=====

Entry B
TlIn2NiPb (PBE, relaxed); total moment = 0.00 μB/f.u.; Fermi-level density of states = 0.5669 states/eV/atom; symmetry = No. 123
1.0
5.046 0.000 0.000
0.000 5.046 0.000
0.000 0.000 5.268
Pb Ni Tl In
1 1 1 2
Cartesian
0.000 0.000 2.634 Pb
0.000 0.000 0.000 Ni
2.523 2.523 2.634 Tl
0.000 2.523 0.000 In
2.523 0.000 0.000 In

=====

So which one is most stable? That would be entry B, about 6.5 kJ/mol of atoms below the next structure.

=====

Entry A
In3NiPd (PBE, relaxed); total moment = 0.49 μB/f.u.; Fermi-level density of states = 1.0125 states/eV/atom; symmetry = No. 221
1.0
5.102 0.000 0.000
0.000 5.102 0.000
0.000 0.000 5.102
Ni Pd In
1 1 3
Cartesian
2.551 2.551 2.551 Ni
0.000 0.000 0.000 Pd
0.000 2.551 0.000 In
0.000 0.000 2.551 In
2.551 0.000 0.000 In

=====

Entry B
In3NiPd (PBE, relaxed); total moment = 0.00 μB/f.u.; Fermi-level density of states = 0.3614 states/eV/atom; symmetry = No. 221
1.0
4.856 0.000 0.000
0.000 4.856 0.000
0.000 0.000 4.856
Ni Pd In
1 1 3
Cartesian
0.000 0.000 0.000 Ni
2.428 2.428 2.428 Pd
0.000 2.428 0.000 In
0.000 0.000 2.428 In
2.428 0.000 0.000 In

=====

So which one is most stable? That would be entry B, about 29.6 kJ/mol of atoms below the next structure.

=====

Entry A
In2NiPd (PBE, relaxed); total moment = 0.00 μB/f.u.; Fermi-level density of states = 0.4513 states/eV/atom; symmetry = No. 225
1.0
0.412 -3.457 2.975
-3.458 -2.946 0.581
0.376 -4.302 -1.526
Ni Pd In
1 1 2
Cartesian
0.000 0.000 0.000 Ni
-1.335 -5.353 1.015 Pd
-0.668 -2.676 0.508 In
-2.003 -8.029 1.523 In

=====

Entry B
In2NiPd (PBE, relaxed); total moment = 0.00 μB/f.u.; Fermi-level density of states = 0.5947 states/eV/atom; symmetry = No. 123
1.0
3.207 0.000 0.000
0.000 3.207 0.000
0.000 0.000 6.565
Ni Pd In
1 1 2
Cartesian
1.604 1.604 0.000 Ni
1.604 1.604 3.282 Pd
0.000 0.000 5.016 In
0.000 0.000 1.549 In

=====

So which one is most stable? That would be entry B, about 2.1 kJ/mol of atoms below the next structure.

=====

Entry A
Pm3InNi (PBE, relaxed); total moment = 0.00 μB/f.u.; Fermi-level density of states = 1.4774 states/eV/atom; symmetry = No. 221
1.0
-4.738 -0.766 2.300
2.341 -2.753 3.906
0.628 4.489 2.788
Ni In Pm
1 1 3
Cartesian
0.000 0.000 0.000 Ni
-0.884 0.485 4.497 In
1.171 -1.376 1.953 Pm
0.314 2.245 1.394 Pm
-2.369 -0.383 1.150 Pm

=====

Entry B
Pm3InNi (PBE, relaxed); total moment = 0.00 μB/f.u.; Fermi-level density of states = 0.8597 states/eV/atom; symmetry = No. 12
1.0
5.048 0.000 1.410
2.216 5.810 1.808
0.087 -0.386 9.429
Pm In Ni
6 2 2
Cartesian
6.603 5.600 5.582 Pm
0.748 -0.176 7.064 Pm
4.679 3.965 2.730 Pm
2.672 1.459 9.917 Pm
5.751 3.306 8.634 Pm
1.600 2.118 4.013 Pm
3.782 4.124 5.942 In
3.569 1.300 6.704 In
2.237 4.470 1.733 Ni
5.114 0.954 10.914 Ni

=====

Entry C
Pm3InNi (PBE, relaxed); total moment = 0.00 μB/f.u.; Fermi-level density of states = 1.1453 states/eV/atom; symmetry = No. 14
1.0
-6.269 1.266 -1.857
1.659 -4.178 -8.449
-3.357 -6.371 6.990
Pm In Ni
12 4 4
Cartesian
-2.464 -8.449 0.885 Pm
-5.504 -0.833 -4.201 Pm
-2.417 -3.378 -7.757 Pm
-5.550 -5.904 4.441 Pm
-5.577 -6.291 0.711 Pm
-2.390 -2.991 -4.027 Pm
-1.075 -1.336 0.833 Pm
-6.893 -7.947 -4.149 Pm
-2.292 -4.699 2.143 Pm
-5.676 -4.583 -5.458 Pm
-4.625 -2.874 -0.677 Pm
-3.342 -6.409 -2.639 Pm
-6.340 -5.193 -2.301 In
-1.627 -4.090 -1.015 In
-1.979 -5.940 -5.589 In
-5.988 -3.343 2.274 In
-3.838 -7.033 2.702 Ni
-4.130 -2.250 -6.018 Ni
-4.690 -0.215 -1.714 Ni
-3.277 -9.067 -1.602 Ni

=====

So which one is most stable? That would be entry B, about 4.0 kJ/mol of atoms below the next structure.

=====

Entry A
PmIn4Ni4 (PBE, relaxed); total moment = 0.00 μB/f.u.; Fermi-level density of states = 0.7227 states/eV/atom; symmetry = No. 137
1.0
5.950 0.000 0.000
0.000 5.950 0.000
0.000 0.000 9.408
Pm In Ni
2 8 8
Cartesian
0.000 0.000 0.000 Pm
2.975 2.975 4.704 Pm
2.975 4.549 7.546 In
2.975 1.401 7.546 In
4.549 2.975 1.862 In
1.401 2.975 1.862 In
1.574 0.000 2.842 In
4.375 0.000 2.842 In
0.000 1.574 6.566 In
0.000 4.375 6.566 In
1.216 2.975 8.680 Ni
4.734 2.975 8.680 Ni
2.975 4.734 0.728 Ni
2.975 1.216 0.728 Ni
0.000 4.190 3.976 Ni
0.000 1.759 3.976 Ni
1.759 0.000 5.432 Ni
4.190 0.000 5.432 Ni

=====

Entry B
PmIn4Ni4 (PBE, relaxed); total moment = 0.00 μB/f.u.; Fermi-level density of states = 0.6386 states/eV/atom; symmetry = No. 86
1.0
-0.962 -2.140 -4.581
3.348 -7.287 2.700
-7.608 -2.475 2.754
Pm In Ni
2 8 8
Cartesian
0.000 0.000 0.000 Pm
-2.611 -5.951 0.437 Pm
-5.990 -5.536 1.566 In
-5.220 -8.457 -0.123 In
0.971 -5.912 0.279 In
-4.230 -2.890 1.626 In
-2.614 -9.396 1.434 In
-0.234 -7.325 2.858 In
-0.761 -5.131 -2.613 In
-2.813 -2.960 -1.531 In
-0.570 -8.007 0.349 Ni
-4.859 -4.354 -0.457 Ni
-2.570 -8.158 3.730 Ni
-6.323 -6.212 -0.932 Ni
0.345 -7.370 -1.792 Ni
-0.714 -3.888 -0.305 Ni
-4.302 -7.555 2.161 Ni
-1.897 -2.063 0.742 Ni

=====

So which one is most stable? That would be entry A, about 8.8 kJ/mol of atoms below the next structure.

=====

Entry A
PmIn2Ni (PBE, relaxed); total moment = 0.00 μB/f.u.; Fermi-level density of states = 0.8259 states/eV/atom; symmetry = No. 166
1.0
-2.447 2.389 -0.025
-3.270 -0.897 0.446
-0.875 1.655 10.025
Ni In Pm
1 2 1
Cartesian
-3.296 1.573 5.223 Ni
-1.207 1.282 6.839 In
-5.384 1.865 3.607 In
0.000 0.000 0.000 Pm

=====

Entry B
PmIn2Ni (PBE, relaxed); total moment = 0.00 μB/f.u.; Fermi-level density of states = 0.6968 states/eV/atom; symmetry = No. 123
1.0
-2.186 2.390 -0.815
-1.393 -2.041 -2.248
-4.859 -2.611 5.381
Ni In Pm
1 2 1
Cartesian
-1.790 0.175 -1.531 Ni
-3.918 -2.105 4.339 In
-0.941 -0.506 1.042 In
-4.219 -1.131 1.159 Pm

=====

So which one is most stable? That would be entry B, about 44.2 kJ/mol of atoms below the next structure.

=====

Entry A
PmIn2Ni (PBE, relaxed); total moment = 0.00 μB/f.u.; Fermi-level density of states = 0.7033 states/eV/atom; symmetry = No. 62
1.0
5.747 0.000 0.000
0.000 7.452 0.000
0.000 0.000 16.401
Pm In Ni
8 16 8
Cartesian
2.674 1.863 2.337 Pm
5.547 5.589 5.863 Pm
3.072 5.589 14.064 Pm
0.199 1.863 10.538 Pm
4.290 1.863 6.444 Pm
1.416 5.589 1.756 Pm
1.457 5.589 9.957 Pm
4.330 1.863 14.645 Pm
5.582 0.377 3.510 In
2.709 7.074 4.690 In
0.164 4.103 12.891 In
3.038 3.349 11.711 In
0.164 7.074 12.891 In
3.038 0.377 11.711 In
5.582 3.349 3.510 In
2.709 4.103 4.690 In
4.312 4.094 0.592 In
1.439 3.357 7.608 In
1.434 0.369 15.809 In
4.307 7.083 8.793 In
1.434 3.357 15.809 In
4.307 4.094 8.793 In
4.312 7.083 0.592 In
1.439 0.369 7.608 In
1.335 1.863 5.322 Ni
4.208 5.589 2.879 Ni
4.411 5.589 11.080 Ni
1.538 1.863 13.523 Ni
5.688 1.863 1.182 Ni
2.814 5.589 7.019 Ni
0.059 5.589 15.219 Ni
2.932 1.863 9.383 Ni

=====

Entry B
PmIn2Ni (PBE, relaxed); total moment = 0.00 μB/f.u.; Fermi-level density of states = 0.7094 states/eV/atom; symmetry = No. 63
1.0
4.405 0.000 0.000
-2.203 5.349 0.000
0.000 0.000 7.443
Pm In Ni
2 4 2
Cartesian
2.203 4.636 1.861 Pm
0.000 0.713 5.582 Pm
0.000 3.789 4.095 In
2.203 1.560 3.348 In
2.203 1.560 0.373 In
0.000 3.789 7.069 In
0.000 2.283 1.861 Ni
2.203 3.066 5.582 Ni

=====

So which one is most stable? That would be entry B, about 1.8 kJ/mol of atoms below the next structure.

=====

Entry A
Pm2InNi2 (PBE, relaxed); total moment = 0.00 μB/f.u.; Fermi-level density of states = 0.4945 states/eV/atom; symmetry = No. 65
1.0
-2.442 2.903 -0.316
-3.029 -2.540 0.068
1.220 1.816 7.248
Pm In Ni
2 1 2
Cartesian
-2.816 0.332 1.879 Pm
-1.434 1.847 5.121 Pm
0.000 0.000 0.000 In
-0.118 0.218 2.916 Ni
-1.691 -0.943 4.399 Ni

=====

Entry B
Pm2InNi2 (PBE, relaxed); total moment = 0.00 μB/f.u.; Fermi-level density of states = 0.8269 states/eV/atom; symmetry = No. 127
1.0
-1.576 1.869 2.900
-6.592 -3.308 -1.450
1.815 -5.643 4.622
Pm In Ni
4 2 4
Cartesian
-0.726 -3.470 4.322 Pm
-3.757 -5.949 4.273 Pm
-5.627 -3.611 1.750 Pm
-2.596 -1.133 1.799 Pm
0.000 0.000 0.000 In
-2.389 -4.475 1.586 In
-0.920 -6.244 3.524 Ni
-4.696 -6.404 1.575 Ni
-3.857 -2.706 -0.352 Ni
-0.081 -2.547 1.597 Ni

=====

So which one is most stable? That would be entry A, about 1.9 kJ/mol of atoms below the next structure.